Entry 1:
Tb4PaS5: relaxed, PBE.

Output
Space group: Immm, No. 71
Total magnetization, μB per formula unit: 0.0
Formation energy from raw total energies, eV per atom: -1.928

a = 3.888 Å, b = 5.538 Å, c = 10.446 Å
α = 105.37°, β = 100.73°, γ = 90.00°
Atoms (fractional coordinates):
Tb (0.196, 0.196, 0.392)
Tb (0.401, 0.401, 0.803)
S (0.000, 0.500, 0.000)
S (0.401, 0.901, 0.801)
Pa (0.000, 0.000, 0.000)
Tb (0.804, 0.804, 0.608)
S (0.798, 0.298, 0.597)
Tb (0.599, 0.599, 0.197)
S (0.202, 0.702, 0.403)
S (0.599, 0.099, 0.199)

---

Entry 2:
TbPaS6: relaxed, PBE.

Output
Space group: Fm-3m, No. 225
Total magnetization, μB per formula unit: 0.0
Formation energy from raw total energies, eV per atom: -0.681

a = 7.495 Å, b = 7.495 Å, c = 7.495 Å
α = 60.00°, β = 60.00°, γ = 60.00°
Atoms (fractional coordinates):
S (0.744, 0.256, 0.744)
Tb (0.000, 0.000, 0.000)
S (0.256, 0.256, 0.744)
S (0.744, 0.744, 0.256)
S (0.256, 0.744, 0.744)
S (0.744, 0.256, 0.256)
Pa (0.500, 0.500, 0.500)
S (0.256, 0.744, 0.256)

---

Entry 3:
TbPaS3: relaxed, PBE.

Output
Space group: Pnma, No. 62
Total magnetization, μB per formula unit: 0.8
Formation energy from raw total energies, eV per atom: -1.858

a = 3.878 Å, b = 7.361 Å, c = 14.953 Å
α = 90.00°, β = 90.00°, γ = 90.00°
Each line ends with the local moment (μB).
Atoms (fractional coordinates):
S (0.250, 0.006, 0.392)  0.00
S (0.250, 0.652, 0.724)  -0.02
Tb (0.250, 0.759, 0.544)  0.05
S (0.750, 0.494, 0.892)  0.00
S (0.750, 0.848, 0.224)  -0.02
S (0.750, 0.624, 0.429)  -0.01
S (0.750, 0.124, 0.071)  -0.01
Tb (0.750, 0.741, 0.044)  0.05
Pa (0.250, 0.623, 0.289)  0.62
S (0.250, 0.152, 0.776)  -0.02
S (0.250, 0.506, 0.108)  0.00
Tb (0.250, 0.259, 0.956)  0.05
Pa (0.750, 0.877, 0.789)  0.62
S (0.250, 0.376, 0.571)  -0.01
Pa (0.750, 0.377, 0.711)  0.62
Tb (0.750, 0.241, 0.456)  0.05
S (0.750, 0.994, 0.608)  0.00
S (0.750, 0.348, 0.276)  -0.02
Pa (0.250, 0.123, 0.211)  0.62
S (0.250, 0.876, 0.929)  -0.01

---

Entry 4:
Tb3PaS6: relaxed, PBE.

Output
Space group: P2_1/m, No. 11
Total magnetization, μB per formula unit: 1.4
Formation energy from raw total energies, eV per atom: -1.947

a = 3.924 Å, b = 11.038 Å, c = 11.299 Å
α = 107.75°, β = 90.00°, γ = 90.00°
Each line ends with the local moment (μB).
Atoms (fractional coordinates):
S (0.750, 0.400, 0.068)  0.00
Tb (0.750, 0.679, 0.502)  0.01
S (0.250, 0.250, 0.722)  -0.02
Tb (0.250, 0.321, 0.498)  0.01
S (0.750, 0.750, 0.278)  -0.02
S (0.250, 0.600, 0.932)  0.00
S (0.750, 0.479, 0.615)  0.00
S (0.250, 0.082, 0.898)  -0.02
S (0.750, 0.812, 0.749)  -0.01
S (0.250, 0.188, 0.251)  -0.01
Tb (0.250, 0.840, 0.921)  0.03
S (0.250, 0.521, 0.385)  0.00
Tb (0.750, 0.426, 0.834)  0.04
S (0.750, 0.111, 0.462)  -0.03
Tb (0.250, 0.574, 0.166)  0.04
S (0.750, 0.918, 0.102)  -0.02
Tb (0.750, 0.160, 0.079)  0.03
S (0.250, 0.889, 0.538)  -0.03
Pa (0.750, 0.046, 0.695)  1.13
Pa (0.250, 0.954, 0.305)  1.13

---

Entry 5:
Tb2PaTl2S6: relaxed, PBE.

Output
Space group: C2/m, No. 12
Total magnetization, μB per formula unit: 1.1
Formation energy from raw total energies, eV per atom: -1.520

a = 6.985 Å, b = 6.985 Å, c = 7.945 Å
α = 98.52°, β = 98.52°, γ = 119.98°
Each line ends with the local moment (μB).
Atoms (fractional coordinates):
S (0.260, 0.260, 0.304)  -0.01
S (0.063, 0.393, 0.694)  -0.01
Tb (0.334, 0.666, 0.500)  0.04
S (0.740, 0.740, 0.696)  -0.01
Tb (0.666, 0.334, 0.500)  0.04
S (0.607, 0.937, 0.306)  -0.01
Tl (0.168, 0.832, 0.000)  0.00
Pa (0.000, 0.000, 0.500)  0.91
Tl (0.832, 0.168, 0.000)  0.00
S (0.937, 0.607, 0.306)  -0.01
S (0.393, 0.063, 0.694)  -0.01

---

Entry 6:
TbTm2PaS4: relaxed, PBE.

Output
Space group: P2/m, No. 10
Total magnetization, μB per formula unit: 0.0
Formation energy from raw total energies, eV per atom: -1.853

a = 3.835 Å, b = 6.766 Å, c = 6.699 Å
α = 71.12°, β = 90.00°, γ = 90.00°
Atoms (fractional coordinates):
S (0.500, 0.241, 0.754)
Pa (0.000, 0.500, 0.500)
S (0.500, 0.759, 0.246)
Tm (0.500, 0.000, 0.500)
Tm (0.000, 0.000, 0.000)
Tb (0.500, 0.500, 0.000)
S (0.000, 0.242, 0.253)
S (0.000, 0.758, 0.747)

---

Entry 7:
Tb2TmPaS4: relaxed, PBE.

Output
Space group: P2/m, No. 10
Total magnetization, μB per formula unit: 0.0
Formation energy from raw total energies, eV per atom: -1.870

a = 3.867 Å, b = 6.783 Å, c = 6.746 Å
α = 109.00°, β = 90.00°, γ = 90.00°
Atoms (fractional coordinates):
Tb (0.500, 0.000, 0.500)
S (0.000, 0.246, 0.752)
S (0.500, 0.755, 0.756)
Tb (0.000, 0.500, 0.500)
S (0.000, 0.754, 0.248)
S (0.500, 0.245, 0.244)
Tm (0.000, 0.000, 0.000)
Pa (0.500, 0.500, 0.000)

---

Entry 8:
Tb2YPaS4: relaxed, PBE.

Output
Space group: P2/m, No. 10
Total magnetization, μB per formula unit: 0.0
Formation energy from raw total energies, eV per atom: -1.887

a = 3.890 Å, b = 6.797 Å, c = 6.786 Å
α = 109.08°, β = 90.00°, γ = 90.00°
Atoms (fractional coordinates):
S (0.500, 0.750, 0.751)
Tb (0.500, 0.000, 0.500)
S (0.500, 0.250, 0.249)
Y (0.000, 0.000, 0.000)
S (0.000, 0.249, 0.750)
Tb (0.000, 0.500, 0.500)
Pa (0.500, 0.500, 0.000)
S (0.000, 0.751, 0.250)

---

Entry 9:
TbYPa2S4: relaxed, PBE.

Output
Space group: P2/m, No. 10
Total magnetization, μB per formula unit: 0.0
Formation energy from raw total energies, eV per atom: -1.776

a = 3.821 Å, b = 6.617 Å, c = 7.016 Å
α = 108.37°, β = 90.00°, γ = 90.00°
Atoms (fractional coordinates):
S (0.000, 0.749, 0.246)
Tb (0.500, 0.500, 0.000)
Y (0.000, 0.000, 0.000)
Pa (0.000, 0.500, 0.500)
Pa (0.500, 0.000, 0.500)
S (0.500, 0.248, 0.246)
S (0.500, 0.752, 0.754)
S (0.000, 0.251, 0.754)

---

Entry 10:
PaTcS: relaxed, PBE.

Output
Space group: I4mm, No. 107
Total magnetization, μB per formula unit: 0.0
Formation energy from raw total energies, eV per atom: -0.317

a = 3.240 Å, b = 3.240 Å, c = 5.544 Å
α = 106.99°, β = 106.99°, γ = 90.00°
Atoms (fractional coordinates):
S (0.265, 0.265, 0.530)
Pa (0.951, 0.951, 0.902)
Tc (0.634, 0.634, 0.268)

---

Entry 11:
Pa2TcS: relaxed, PBE.

Output
Space group: P4/mmm, No. 123
Total magnetization, μB per formula unit: 0.0
Formation energy from raw total energies, eV per atom: -0.724

a = 3.239 Å, b = 3.239 Å, c = 7.548 Å
α = 90.00°, β = 90.00°, γ = 90.00°
Atoms (fractional coordinates):
Pa (0.000, 0.000, 0.753)
Pa (0.000, 0.000, 0.247)
Tc (0.500, 0.500, 0.000)
S (0.500, 0.500, 0.500)

---

Entry 12:
Pa2TcS: relaxed, PBE.

Output
Space group: R-3m, No. 166
Total magnetization, μB per formula unit: 0.0
Formation energy from raw total energies, eV per atom: -0.753

a = 3.864 Å, b = 3.864 Å, c = 7.242 Å
α = 74.53°, β = 74.53°, γ = 60.00°
Atoms (fractional coordinates):
Pa (0.746, 0.746, 0.763)
Pa (0.254, 0.254, 0.237)
S (0.500, 0.500, 0.500)
Tc (0.000, 0.000, 0.000)